(1)
The following is a GGA-PBE calculation of crystalline TlCoSn2Pb at its relaxed geometry, from the Alexandria database.

Computed properties:
ΔH_f (0 K)	76	kJ/mol of formula units
energy relative to the lowest polymorph listed for this composition	44.3	meV/atom
DOS at the Fermi energy	3.65	states/eV/cell

Cell: 5.0076 5.0076 5.1711 Å, 90.00 90.00 90.00°
Fractional positions:
1 Pb 0.5000 0.5000 0.5000
2 Tl 0.0000 0.0000 0.5000
3 Co 0.0000 0.0000 0.0000
4 Sn 0.0000 0.5000 0.0000
5 Sn 0.5000 0.0000 0.0000

=====

(2)
The following is a GGA-PBE calculation of crystalline YCoSn2Pb at its relaxed geometry, from the Alexandria database.

Computed properties:
ΔH_f (0 K)	-99	kJ/mol of formula units
DOS at the Fermi energy	1.95	states/eV/cell

Cell: 4.9129 4.9129 5.1912 Å, 90.00 90.00 90.00°
Fractional positions:
1 Pb 0.5000 0.5000 0.5000
2 Y 0.0000 0.0000 0.5000
3 Co 0.0000 0.0000 0.0000
4 Sn 0.0000 0.5000 0.0000
5 Sn 0.5000 0.0000 0.0000